# Nd2Ho5Pd4

A relaxed structure of Nd2Ho5Pd4 (PBE-GGA, Alexandria via LeMat-Bulk).

The value obtained for the formation energy is -0.52 eV per atom. Its total magnetization is 0.00 μB/f.u. Its calculated total energy is -117.9 eV per cell.

The space group is C2/m (No. 12) and the conventional cell measures 13.992, 3.749 and 12.780 Å, with angles of 90.00, 115.39 and 90.00 degrees. The distinct sites, in fractional coordinates, are Nd at (0.164, 0.000, 0.352), Ho at (0.000, 0.000, 0.500), Ho at (0.099, 0.500, 0.778), Ho at (0.140, 0.500, 0.078), Pd at (0.011, 0.000, 0.891) and Pd at (0.197, 0.000, 0.689).

# Cs2NdHg2S4

A relaxed structure of Cs2NdHg2S4 (PBE-GGA, Alexandria via LeMat-Bulk).

Its total magnetization is 0.00 μB/f.u. Its calculated total energy is -64.9 eV per cell. The calculation puts the uncorrected formation energy at -0.99 eV per atom.

The space group is C2/m (No. 12) and the conventional cell measures 16.620, 4.182 and 8.613 Å, with angles of 90.00, 112.14 and 90.00 degrees. The distinct sites, in fractional coordinates, are Cs at (0.127, 0.000, 0.062), Nd at (0.000, 0.000, 0.500), Hg at (0.188, 0.500, 0.520), S at (0.027, 0.500, 0.294) and S at (0.183, 0.000, 0.711).

# Pm8Te4As3Pb

A relaxed structure of Pm8Te4As3Pb (PBE-GGA, Alexandria via LeMat-Bulk).

Its total magnetization is 0.00 μB/f.u. Its calculated total energy is -271.9 eV per cell. The calculation puts the uncorrected formation energy at -1.40 eV per atom.

The space group is R-3m (No. 166, hexagonal axes) and the conventional cell measures 8.7455, 8.7455 and 21.8421 Å, with angles of 90.00, 90.00 and 120.00 degrees. The distinct sites, in fractional coordinates, are Pm at (0.0000, 0.0000, 0.2399), Pm at (0.0100, 0.5050, 0.7573), Te at (0.0000, 0.0000, 0.0000), Te at (0.0000, 0.5000, 0.0000), As at (0.0000, 0.5000, 0.5000) and Pb at (0.0000, 0.0000, 0.5000).